No. 1
# YBe2Re

An optimized crystal structure of YBe2Re (GGA-PBE, Alexandria via LeMat-Bulk).

```
4
Lattice="4.560 0.000 0.000 0.927 4.465 0.000 -2.744 -2.233 2.878" Properties=species:S:1:pos:R:3 pbc="T T T"
Y 2.280 0.000 1.439
Re 0.464 2.233 1.439
Be 0.000 0.000 0.000
Be 2.744 2.233 0.000
```

Computed properties:
**VASP energy**: -25.454 eV per cell
**Excess energy over the best structure of this formula in the dataset**: 0.2368 eV per atom

No. 2
# YBe2Re2

An optimized crystal structure of YBe2Re2 (GGA-PBE, Alexandria via LeMat-Bulk).

```
10
Lattice="-5.242 0.488 -5.318 -4.701 -3.956 4.272 -0.892 2.232 1.084" Properties=species:S:1:pos:R:3 pbc="T T T"
Y 0.000 0.000 0.000
Y -4.972 -1.734 -0.523
Re -6.113 -3.290 1.740
Re -7.527 -2.030 -2.016
Re -3.830 -0.178 -2.786
Re -2.416 -1.437 0.970
Be -4.488 -1.452 2.500
Be -7.861 -1.840 0.524
Be -6.348 0.216 -2.462
Be -2.975 0.604 -0.486
```

Computed properties:
**VASP energy**: -75.282 eV per cell
**Excess energy over the best structure of this formula in the dataset**: 0.1270 eV per atom

No. 3
# YBe2Re

An optimized crystal structure of YBe2Re (GGA-PBE, Alexandria via LeMat-Bulk).

```
4
Lattice="-0.045 -2.931 1.160 1.213 -1.086 -2.695 6.654 -0.318 -0.549" Properties=species:S:1:pos:R:3 pbc="T T T"
Y 5.878 -2.518 -1.853
Re 1.945 -1.816 -0.231
Be 1.624 -1.028 -2.533
Be 3.523 -0.760 -1.784
```

Computed properties:
**VASP energy**: -26.402 eV per cell
**Excess energy over the best structure of this formula in the dataset**: 0.0000 eV per atom

No. 4
# Be2ZnRe

An optimized crystal structure of Be2ZnRe (GGA-PBE, Alexandria via LeMat-Bulk).

```
4
Lattice="-1.991 -1.269 2.906 2.911 -2.087 1.083 1.066 2.412 1.784" Properties=species:S:1:pos:R:3 pbc="T T T"
Re -0.462 0.572 2.345
Zn 1.989 0.163 1.433
Be 0.000 0.000 0.000
Be 0.460 -1.678 1.994
```

Computed properties:
**VASP energy**: -21.197 eV per cell

No. 5
# Be2ZnRe

An optimized crystal structure of Be2ZnRe (GGA-PBE, Alexandria via LeMat-Bulk).

```
4
Lattice="-1.216 -0.378 2.267 -1.453 -0.943 -1.939 3.462 -6.815 0.721" Properties=species:S:1:pos:R:3 pbc="T T T"
Re -0.469 -2.364 0.344
Zn 1.262 -5.771 0.705
Be 0.027 -0.053 0.006
Be 1.704 -3.355 0.355
```

Computed properties:
**VASP energy**: -20.398 eV per cell

No. 6
# Be2ZnRe

An optimized crystal structure of Be2ZnRe (GGA-PBE, Alexandria via LeMat-Bulk).

```
4
Lattice="-3.216 2.294 0.941 -3.745 -1.548 -0.261 -2.121 -0.765 3.377" Properties=species:S:1:pos:R:3 pbc="T T T"
Re -4.541 -0.009 2.029
Zn -6.811 -0.014 3.043
Be 0.000 0.000 0.000
Be -2.270 -0.005 1.014
```

Computed properties:
**VASP energy**: -19.481 eV per cell

No. 7
# BeZn3Re

An optimized crystal structure of BeZn3Re (GGA-PBE, Alexandria via LeMat-Bulk).

```
5
Lattice="4.153 0.000 0.000 0.000 4.153 0.000 0.000 0.000 4.153" Properties=species:S:1:pos:R:3 pbc="T T T"
Re 2.076 2.076 2.076
Zn 0.000 2.076 0.000
Zn 0.000 0.000 2.076
Zn 2.076 0.000 0.000
Be 0.000 0.000 0.000
```

Computed properties:
**VASP energy**: -15.354 eV per cell
**Excess energy over the best structure of this formula in the dataset**: 0.0000 eV per atom

No. 8
# Be4ZnRe

An optimized crystal structure of Be4ZnRe (GGA-PBE, Alexandria via LeMat-Bulk).

```
6
Lattice="1.295 -2.693 3.204 -2.930 -1.590 2.843 -1.096 -4.240 -0.126" Properties=species:S:1:pos:R:3 pbc="T T T"
Be -0.400 -4.537 3.802
Be -1.568 -5.292 2.176
Be -2.464 -3.998 3.626
Be -1.032 -3.221 2.237
Zn 0.000 0.000 0.000
Re -2.049 -6.393 4.440
```

Computed properties:
**VASP energy**: -28.698 eV per cell

| no. | DFT formation energy (meV/atom) |
| --- | --- |
| 1 | 228 |
| 2 | 234 |
| 3 | -9 |
| 4 | -6 |
| 5 | 194 |
| 6 | 423 |
| 7 | 929 |
| 8 | -12 |